No. 1
A geometry-optimized KCdGaHg2 structure, computed with GGA-PBE.

a b c (Å): 5.488 6.295 5.488
angles (deg): 90.00 90.00 90.00
Positions (direct):
K1 0.000 0.500 0.000
Hg1 0.000 0.000 0.500
Hg2 0.500 0.000 0.000
Ga1 0.500 0.500 0.500
Cd1 0.000 0.000 0.000

=====

No. 2
A geometry-optimized K2CdGaHg structure, computed with GGA-PBE.

a b c (Å): 6.661 4.941 6.661
angles (deg): 90.00 90.00 90.00
Positions (direct):
K1 0.000 0.000 0.500
K2 0.500 0.000 0.000
Hg1 0.000 0.500 0.000
Ga1 0.000 0.000 0.000
Cd1 0.500 0.500 0.500

=====

No. 3
A geometry-optimized KCdGaHg3 structure, computed with GGA-PBE.

a b c (Å): 7.821 8.042 7.535
angles (deg): 122.25 90.00 90.00
Positions (direct):
K1 0.750 0.270 0.540
K2 0.250 0.730 0.460
Cd1 0.250 0.013 0.026
Cd2 0.750 0.987 0.974
Ga1 0.250 0.449 0.897
Ga2 0.750 0.551 0.103
Hg1 0.250 0.237 0.473
Hg2 0.000 0.269 0.000
Hg3 0.500 0.731 0.000
Hg4 0.500 0.269 0.000
Hg5 0.000 0.731 0.000
Hg6 0.750 0.763 0.527

=====

No. 4
A geometry-optimized KCdGaHg structure, computed with GGA-PBE.

a b c (Å): 5.369 5.369 5.369
angles (deg): 60.00 60.00 60.00
Positions (direct):
K1 0.250 0.250 0.250
Hg1 0.500 0.500 0.500
Ga1 0.750 0.750 0.750
Cd1 0.000 0.000 0.000

=====

No. 5
A geometry-optimized La4CdGaHg2 structure, computed with GGA-PBE.

a b c (Å): 5.495 5.495 9.525
angles (deg): 73.23 73.23 60.00
Each line ends with the local moment (μB).
Positions (direct):
La1 0.381 0.381 0.858  0.09
La2 0.869 0.869 0.392  0.14
La3 0.131 0.131 0.608  0.14
La4 0.619 0.619 0.142  0.09
Cd1 0.000 0.000 0.000  0.01
Ga1 0.500 0.500 0.500  0.00
Hg1 0.743 0.743 0.770  0.02
Hg2 0.257 0.257 0.230  0.02

=====

No. 6
A geometry-optimized LaCdGaHg structure, computed with GGA-PBE.

a b c (Å): 5.180 5.180 5.180
angles (deg): 60.00 60.00 60.00
Positions (direct):
Cd1 0.750 0.750 0.750
Hg1 0.500 0.500 0.500
Ga1 0.000 0.000 0.000
La1 0.250 0.250 0.250

=====

No. 7
A geometry-optimized Li5Cd2Ga2Hg structure, computed with GGA-PBE.

a b c (Å): 3.756 9.890 9.890
angles (deg): 90.00 90.00 90.00
Positions (direct):
Li1 0.500 0.195 0.072
Li2 0.500 0.805 0.928
Li3 0.500 0.072 0.805
Li4 0.500 0.695 0.428
Li5 0.500 0.928 0.195
Li6 0.500 0.305 0.572
Li7 0.500 0.572 0.695
Li8 0.500 0.428 0.305
Li9 0.500 0.500 0.000
Li10 0.500 0.000 0.500
Cd1 0.000 0.668 0.168
Cd2 0.000 0.332 0.832
Cd3 0.000 0.168 0.332
Cd4 0.000 0.832 0.668
Ga1 0.000 0.130 0.630
Ga2 0.000 0.870 0.370
Ga3 0.000 0.630 0.870
Ga4 0.000 0.370 0.130
Hg1 0.000 0.000 0.000
Hg2 0.000 0.500 0.500

=====

No. 8
A geometry-optimized LuCdGaHg structure, computed with GGA-PBE.

a b c (Å): 4.978 4.978 4.978
angles (deg): 60.00 60.00 60.00
Positions (direct):
Lu1 0.250 0.250 0.250
Hg1 0.500 0.500 0.500
Ga1 0.000 0.000 0.000
Cd1 0.750 0.750 0.750

=====

No. 9
A geometry-optimized Mg5Cd2Ga2Hg structure, computed with GGA-PBE.

a b c (Å): 3.516 11.216 11.216
angles (deg): 90.00 90.00 90.00
Positions (direct):
Mg1 0.500 0.208 0.023
Mg2 0.500 0.792 0.977
Mg3 0.500 0.023 0.792
Mg4 0.500 0.708 0.477
Mg5 0.500 0.977 0.208
Mg6 0.500 0.292 0.523
Mg7 0.500 0.523 0.708
Mg8 0.500 0.477 0.292
Mg9 0.500 0.500 0.000
Mg10 0.500 0.000 0.500
Cd1 0.000 0.680 0.180
Cd2 0.000 0.320 0.820
Cd3 0.000 0.180 0.320
Cd4 0.000 0.820 0.680
Ga1 0.000 0.140 0.640
Ga2 0.000 0.860 0.360
Ga3 0.000 0.640 0.860
Ga4 0.000 0.360 0.140
Hg1 0.000 0.000 0.000
Hg2 0.000 0.500 0.500

=====

No. 10
A geometry-optimized Mg2Cd2GaHg2 structure, computed with GGA-PBE.

a b c (Å): 3.422 7.487 7.235
angles (deg): 116.26 90.00 103.21
Positions (direct):
Mg1 0.207 0.414 0.792
Mg2 0.793 0.586 0.208
Cd1 0.354 0.707 0.603
Cd2 0.646 0.293 0.397
Ga1 0.000 0.000 0.500
Hg1 0.579 0.157 0.923
Hg2 0.421 0.843 0.077

=====

No. 11
A geometry-optimized Mg2CdGaHg4 structure, computed with GGA-PBE.

a b c (Å): 5.878 5.878 7.143
angles (deg): 114.34 114.34 89.90
Positions (direct):
Mg1 0.250 0.750 0.500
Mg2 0.000 0.000 0.000
Cd1 0.500 0.500 0.000
Ga1 0.750 0.250 0.500
Hg1 0.000 0.500 0.999
Hg2 0.500 0.000 0.001
Hg3 0.756 0.756 0.511
Hg4 0.244 0.244 0.489

=====

No. 12
A geometry-optimized MgCd2GaHg4 structure, computed with GGA-PBE.

a b c (Å): 5.915 5.915 7.205
angles (deg): 114.22 114.22 90.04
Positions (direct):
Mg1 0.500 0.500 0.000
Cd1 0.250 0.750 0.500
Cd2 0.000 0.000 0.000
Ga1 0.750 0.250 0.500
Hg1 0.994 0.494 0.988
Hg2 0.506 0.006 0.012
Hg3 0.744 0.744 0.488
Hg4 0.256 0.256 0.512

=====

No. 13
A geometry-optimized Mg5CdGa2Hg structure, computed with GGA-PBE.

a b c (Å): 6.909 6.909 9.645
angles (deg): 110.99 110.99 90.00
Positions (direct):
Mg1 0.930 0.430 0.258
Mg2 0.672 0.172 0.742
Mg3 0.070 0.570 0.742
Mg4 0.172 0.070 0.742
Mg5 0.570 0.672 0.742
Mg6 0.828 0.930 0.258
Mg7 0.430 0.328 0.258
Mg8 0.328 0.828 0.258
Mg9 0.500 0.500 0.000
Mg10 0.000 0.000 0.000
Cd1 0.250 0.250 0.500
Cd2 0.750 0.750 0.500
Ga1 0.127 0.373 0.000
Ga2 0.627 0.127 0.000
Ga3 0.373 0.873 0.000
Ga4 0.873 0.627 0.000
Hg1 0.250 0.750 0.500
Hg2 0.750 0.250 0.500

=====

No. 14
A geometry-optimized MgCdGaHg structure, computed with GGA-PBE.

a b c (Å): 4.969 4.969 4.969
angles (deg): 60.00 60.00 60.00
Positions (direct):
Mg1 0.750 0.750 0.750
Hg1 0.500 0.500 0.500
Ga1 0.000 0.000 0.000
Cd1 0.250 0.250 0.250

=====

No. 15
A geometry-optimized MgCdGaHg structure, computed with GGA-PBE.

a b c (Å): 4.597 4.597 8.138
angles (deg): 90.00 90.00 90.00
Positions (direct):
Mg1 0.000 0.500 0.756
Mg2 0.500 0.000 0.244
Cd1 0.500 0.000 0.770
Cd2 0.000 0.500 0.230
Ga1 0.500 0.500 0.000
Ga2 0.000 0.000 0.000
Hg1 0.000 0.000 0.500
Hg2 0.500 0.500 0.500

=====

No. 16
A geometry-optimized NaCdGaHg structure, computed with GGA-PBE.

a b c (Å): 5.047 5.047 5.047
angles (deg): 60.00 60.00 60.00
Positions (direct):
Na1 0.250 0.250 0.250
Hg1 0.500 0.500 0.500
Ga1 0.750 0.750 0.750
Cd1 0.000 0.000 0.000

=====

No. 17
A geometry-optimized NaCdGaHg2 structure, computed with GGA-PBE.

a b c (Å): 5.329 5.329 5.357
angles (deg): 90.00 90.00 90.00
Positions (direct):
Na1 0.500 0.500 0.500
Hg1 0.000 0.500 0.000
Hg2 0.500 0.000 0.000
Ga1 0.000 0.000 0.000
Cd1 0.000 0.000 0.500

=====

No. 18
A geometry-optimized Nd4CdGaHg2 structure, computed with GGA-PBE.

a b c (Å): 5.397 5.397 9.337
angles (deg): 73.20 73.20 60.00
Each line ends with the local moment (μB).
Positions (direct):
Nd1 0.380 0.380 0.860  0.15
Nd2 0.870 0.870 0.389  0.21
Nd3 0.130 0.130 0.611  0.21
Nd4 0.620 0.620 0.140  0.15
Cd1 0.000 0.000 0.000  0.01
Ga1 0.500 0.500 0.500  0.01
Hg1 0.744 0.744 0.767  0.02
Hg2 0.256 0.256 0.233  0.02

=====

No. 19
A geometry-optimized NdCdGaHg structure, computed with GGA-PBE.

a b c (Å): 5.120 5.120 5.120
angles (deg): 60.00 60.00 60.00
Positions (direct):
Nd1 0.250 0.250 0.250
Hg1 0.500 0.500 0.500
Ga1 0.000 0.000 0.000
Cd1 0.750 0.750 0.750

=====

No. 20
A geometry-optimized Nd4Cd2GaHg structure, computed with GGA-PBE.

a b c (Å): 5.384 5.384 9.369
angles (deg): 73.30 73.30 60.00
Positions (direct):
Nd1 0.378 0.378 0.865
Nd2 0.872 0.872 0.385
Nd3 0.128 0.128 0.615
Nd4 0.622 0.622 0.135
Cd1 0.749 0.749 0.754
Cd2 0.251 0.251 0.246
Ga1 0.500 0.500 0.500
Hg1 0.000 0.000 0.000

=====

Record order is preserved below.
ΔH_f (0 K): 0.280 0.088 -0.034 0.006 -0.468 -0.418 -0.202 -0.300 -0.058 -0.030 -0.002 0.035 -0.083 -0.042 -0.061 -0.080 0.026 -0.443 -0.375 -0.405 eV/atom